No. 1
{"formula": "Sm5Ga2Rh", "functional": "GGA-PBE", "state": "optimized geometry", "lattice_angstrom": [[-2.608, 2.592, 2.920], [-2.117, -6.253, 3.661], [9.493, 1.151, 7.456]], "species": ["Ga", "Ga", "Ga", "Ga", "Sm", "Sm", "Sm", "Sm", "Sm", "Sm", "Sm", "Sm", "Sm", "Sm", "Rh", "Rh"], "fractional_positions": [[0.500, 0.926, 0.666], [0.500, 0.074, 0.334], [0.500, 0.426, 0.834], [0.500, 0.574, 0.166], [0.000, 0.000, 0.500], [0.000, 0.358, 0.290], [0.500, 0.185, 0.081], [0.000, 0.142, 0.790], [0.500, 0.685, 0.419], [0.000, 0.858, 0.210], [0.000, 0.500, 0.000], [0.500, 0.815, 0.919], [0.500, 0.315, 0.581], [0.000, 0.642, 0.710], [0.000, 0.000, 0.000], [0.000, 0.500, 0.500]], "magnetic_moment_mub_per_cell": 0.0, "sg": "Pbam, No. 55", "delta_e_f_mev_per_atom": -521}


No. 2
{"formula": "Zn2SiNi", "functional": "GGA-PBE", "state": "optimized geometry", "lattice_angstrom": [[3.971, 0.000, 0.000], [0.000, 2.850, -0.011], [0.000, 1.837, 4.783]], "species": ["Zn", "Zn", "Ni", "Si"], "fractional_positions": [[0.500, 0.331, 0.282], [0.000, 0.912, 0.972], [0.000, 0.688, 0.500], [0.500, 0.569, 0.745]], "e_tot_ev_per_atom": -3.48, "magnetic_moment_mub_per_cell": 0.0, "sg": "Pm, No. 6"}


No. 3
{"formula": "LiFeSi2", "functional": "GGA-PBE", "state": "optimized geometry", "lattice_angstrom": [[4.710, -0.044, -0.211], [3.942, 2.580, -0.211], [0.101, 0.030, 3.884]], "species": ["Si", "Si", "Fe", "Li"], "fractional_positions": [[0.799, 0.799, 0.637], [0.961, 0.961, 0.119], [0.525, 0.525, 0.609], [0.215, 0.215, 0.136]], "relative_energy_mev_per_atom": 122, "magnetic_moment_mub_per_cell": 0.0, "sg": "Cm, No. 8"}


No. 4
{"formula": "HgPb3Au4", "functional": "GGA-PBE", "state": "optimized geometry", "lattice_angstrom": [[4.812, 0.000, 2.737], [1.804, 5.932, 2.426], [-0.585, -0.286, 6.626]], "species": ["Au", "Au", "Au", "Au", "Pb", "Pb", "Pb", "Hg"], "fractional_positions": [[0.715, 0.962, 0.607], [0.007, 0.237, 0.237], [0.518, 0.237, 0.237], [0.715, 0.607, 0.962], [0.414, 0.366, 0.807], [0.414, 0.807, 0.366], [0.073, 0.927, 0.927], [0.992, 0.508, 0.508]], "magnetic_moment_mub_per_cell": 0.0, "sg": "Imm2, No. 44", "delta_e_f_mev_per_atom": -11}


No. 5
{"formula": "LaCo2Os", "functional": "GGA-PBE", "state": "optimized geometry", "lattice_angstrom": [[-3.232, -3.125, -1.801], [-1.480, -2.762, 3.693], [0.232, 4.822, -0.393]], "species": ["Co", "Co", "La", "Os"], "fractional_positions": [[0.000, 0.000, 0.000], [0.250, 0.750, 0.500], [0.500, 0.500, 0.000], [0.750, 0.250, 0.500]], "relative_energy_mev_per_atom": 589, "magnetic_moment_mub_per_cell": 3.1, "sg": "I-4m2, No. 119", "delta_e_f_mev_per_atom": 562}


No. 6
{"formula": "TiNbAu", "functional": "GGA-PBE", "state": "optimized geometry", "lattice_angstrom": [[-2.640, 0.534, -0.965], [1.074, -2.015, -4.057], [-4.290, -6.588, 2.134]], "species": ["Ti", "Ti", "Nb", "Nb", "Au", "Au"], "fractional_positions": [[0.408, 0.110, 0.673], [0.837, 0.610, 0.214], [0.512, 0.610, 0.878], [0.733, 0.110, 0.010], [0.155, 0.110, 0.343], [0.090, 0.610, 0.545]], "relative_energy_mev_per_atom": 11, "magnetic_moment_mub_per_cell": 0.0, "sg": "P2_1/m, No. 11", "delta_e_f_mev_per_atom": -223}


No. 7
{"formula": "Th6Ir2Se3S", "functional": "GGA-PBE", "state": "optimized geometry", "lattice_angstrom": [[-3.098, -1.024, -6.450], [7.014, -1.512, 0.872], [-2.954, -5.747, 3.697]], "species": ["Se", "Se", "Se", "Th", "Th", "Th", "Th", "Th", "Th", "Ir", "Ir", "S"], "fractional_positions": [[0.160, 0.840, 0.500], [0.840, 0.160, 0.500], [0.500, 0.500, 0.500], [0.270, 0.270, 0.775], [0.421, 0.076, 0.227], [0.076, 0.421, 0.227], [0.579, 0.924, 0.773], [0.730, 0.730, 0.225], [0.924, 0.579, 0.773], [0.667, 0.333, 0.000], [0.333, 0.667, 0.000], [0.000, 0.000, 0.000]], "e_tot_ev_per_atom": -7.83, "magnetic_moment_mub_per_cell": 0.0, "sg": "C2/m, No. 12"}


No. 8
{"formula": "Si2Sn2I", "functional": "GGA-PBE", "state": "optimized geometry", "lattice_angstrom": [[8.492, 0.000, 0.000], [0.000, 8.492, 0.000], [0.000, 0.000, 3.873]], "species": ["Si", "Si", "Si", "Si", "I", "I", "Sn", "Sn", "Sn", "Sn"], "fractional_positions": [[0.399, 0.101, 0.500], [0.899, 0.399, 0.500], [0.601, 0.899, 0.500], [0.101, 0.601, 0.500], [0.000, 0.000, 0.000], [0.500, 0.500, 0.000], [0.343, 0.843, 0.000], [0.157, 0.343, 0.000], [0.657, 0.157, 0.000], [0.843, 0.657, 0.000]], "relative_energy_mev_per_atom": 269, "magnetic_moment_mub_per_cell": 0.0, "sg": "P4/mbm, No. 127"}


No. 9
{"formula": "MnPd2Br", "functional": "GGA-PBE", "state": "optimized geometry", "lattice_angstrom": [[7.361, 0.000, 0.000], [0.000, 7.361, 0.000], [3.681, 3.681, 2.726]], "species": ["Pd", "Pd", "Pd", "Pd", "Br", "Br", "Mn", "Mn"], "fractional_positions": [[0.608, 0.125, 0.250], [0.875, 0.858, 0.750], [0.142, 0.625, 0.250], [0.375, 0.392, 0.750], [0.750, 0.250, 0.500], [0.000, 0.000, 0.000], [0.250, 0.750, 0.500], [0.500, 0.500, 0.000]], "relative_energy_mev_per_atom": 48, "magnetic_moment_mub_per_cell": 8.9, "sg": "I-42d, No. 122"}


No. 10
{"formula": "DyMgTlZn", "functional": "GGA-PBE", "state": "optimized geometry", "lattice_angstrom": [[5.067, 0.000, 0.000], [2.533, 4.388, 0.000], [2.533, 1.463, 4.137]], "species": ["Zn", "Tl", "Dy", "Mg"], "fractional_positions": [[0.000, 0.000, 0.000], [0.500, 0.500, 0.500], [0.250, 0.250, 0.250], [0.750, 0.750, 0.750]], "magnetic_moment_mub_per_cell": 0.0, "sg": "F-43m, No. 216", "delta_e_f_mev_per_atom": -257}


No. 11
{"formula": "Tb3Tm2Tl6", "functional": "GGA-PBE", "state": "optimized geometry", "lattice_angstrom": [[-3.949, -2.601, -0.141], [1.167, -1.538, -4.319], [8.607, -9.210, 8.196]], "species": ["Tl", "Tl", "Tl", "Tl", "Tl", "Tl", "Tm", "Tm", "Tb", "Tb", "Tb"], "fractional_positions": [[0.696, 0.696, 0.392], [0.618, 0.118, 0.236], [0.304, 0.304, 0.608], [0.382, 0.882, 0.764], [0.882, 0.382, 0.764], [0.118, 0.618, 0.236], [0.447, 0.447, 0.894], [0.553, 0.553, 0.106], [0.200, 0.200, 0.399], [0.800, 0.800, 0.601], [0.000, 0.000, 0.000]], "magnetic_moment_mub_per_cell": 0.0, "sg": "I4/mmm, No. 139", "delta_e_f_mev_per_atom": -39}


No. 12
{"formula": "CaBeZn2", "functional": "GGA-PBE", "state": "optimized geometry", "lattice_angstrom": [[4.197, 0.000, 0.000], [0.000, 4.196, 0.000], [0.000, 0.000, 4.245]], "species": ["Zn", "Zn", "Ca", "Be"], "fractional_positions": [[0.500, 0.500, 0.000], [0.000, 0.000, 0.000], [0.000, 0.500, 0.500], [0.500, 0.000, 0.500]], "magnetic_moment_mub_per_cell": 0.0, "sg": "P4/mmm, No. 123", "delta_e_f_mev_per_atom": 222}